No. 1
First-principles (PBE) data for a geometry-optimized Th2Ga3GeIr4 structure, as listed in the Alexandria database.

Geometry as POSCAR:
```
Th2Ga3GeIr4
1.0
4.318 0.000 0.000
0.000 4.318 0.000
0.000 0.000 10.103
Th Ga Ge Ir
2 3 1 4
direct
0.000 0.500 0.246
0.500 0.000 0.754
0.000 0.500 0.872
0.500 0.000 0.128
0.500 0.500 0.500
0.000 0.000 0.500
0.000 0.000 0.000
0.000 0.500 0.629
0.500 0.000 0.371
0.500 0.500 0.000
```

* VASP energy: -7.158 eV per atom


No. 2
First-principles (PBE) data for a geometry-optimized Ca2AlAg structure, as listed in the Alexandria database.

Geometry as POSCAR:
```
Ca2AlAg
1.0
3.499 0.000 0.000
0.000 3.564 0.000
0.000 0.000 8.601
Ca Al Ag
2 1 1
direct
0.000 0.000 0.000
0.500 0.500 0.370
0.000 0.000 0.613
0.500 0.500 0.758
```

* VASP energy: -2.785 eV per atom


No. 3
First-principles (PBE) data for a geometry-optimized SmAl2Co structure, as listed in the Alexandria database.

Geometry as POSCAR:
```
SmAl2Co
1.0
14.822 0.000 0.000
0.000 7.015 0.000
0.000 0.000 5.633
Sm Al Co
8 16 8
direct
0.100 0.250 0.225
0.134 0.750 0.028
0.366 0.250 0.528
0.400 0.750 0.725
0.600 0.250 0.275
0.634 0.750 0.472
0.866 0.250 0.972
0.900 0.750 0.775
0.047 0.061 0.706
0.047 0.439 0.706
0.211 0.552 0.538
0.211 0.948 0.538
0.289 0.052 0.038
0.289 0.448 0.038
0.453 0.561 0.206
0.453 0.939 0.206
0.547 0.061 0.794
0.547 0.439 0.794
0.711 0.552 0.962
0.711 0.948 0.962
0.789 0.052 0.462
0.789 0.448 0.462
0.953 0.561 0.294
0.953 0.939 0.294
0.072 0.750 0.506
0.192 0.250 0.770
0.308 0.750 0.270
0.428 0.250 0.006
0.572 0.750 0.994
0.692 0.250 0.730
0.808 0.750 0.230
0.928 0.250 0.494
```

* VASP energy: -5.323 eV per atom


No. 4
First-principles (PBE) data for a geometry-optimized Ta2ZnAs structure, as listed in the Alexandria database.

Geometry as POSCAR:
```
Ta2ZnAs
1.0
3.497 0.000 0.000
0.000 3.497 0.000
0.000 0.000 5.555
Ta Zn As
2 1 1
direct
0.000 0.000 0.000
0.500 0.500 0.259
0.000 0.000 0.489
0.500 0.500 0.757
```

* ΔE to the lowest computed polymorph: 0.0 meV per atom